An optimized crystal structure of CrSIN2. Source: Alexandria, functional PBE.

Cell lengths 3.8161, 3.8161, 5.4317 Å; angles 90.00, 90.00, 90.00 degrees
Space group P4/mmm (No. 123)
Inequivalent atoms, fractional coordinates:
Cr: 0.0000 0.0000 0.0000
S: 0.0000 0.0000 0.5000
I: 0.5000 0.5000 0.5000
N: 0.0000 0.5000 0.0000

## Properties
Energy above the most stable polymorph in this dataset ... 0 meV per atom
Formation energy (no corrections) ... 0.76 eV per atom
E ... -5.63 eV per atom
DOS at the Fermi energy ... 2.5 states/eV/f.u.

An optimized crystal structure of TiCr3Co. Source: Alexandria, functional PBE.

Cell lengths 4.1922, 4.1922, 4.1922 Å; angles 90.00, 90.00, 90.00 degrees
Space group Pm-3m (No. 221)
Inequivalent atoms, fractional coordinates:
Ti: 0.0000 0.0000 0.0000
Cr: 0.0000 0.0000 0.5000
Co: 0.5000 0.5000 0.5000

## Properties
E ... -7.05 eV per atom
DFT formation energy ... 1.73 eV/atom
DOS at the Fermi energy ... 8.7 states/eV/f.u.

> Among the records above, which one has the highest DOS at the Fermi energy?

TiCr3Co

> Which of these has the lowest DOS at the Fermi energy?

CrSIN2